Entry 1:
## Ta2TiCdMo (GGA-PBEsol)

Data for Ta2TiCdMo after structural relaxation.

abc: 4.6899 4.6899 5.0924
angles: 90.00 90.00 90.00
Closest atoms and distances in Å follow each position.
Space group P4/mmm (No. 123)
One atom of each set of equivalent atoms:
Ta1 0.0000 0.5000 0.0000  2 Mo 2.34
Ti1 0.0000 0.0000 0.5000  4 Cd 3.32, 8 Ta 3.46
Cd1 0.5000 0.5000 0.5000  2 Mo 2.55
Mo1 0.5000 0.5000 0.0000  4 Ta 2.34, 2 Cd 2.55

Values from the calculation:
- energy of formation from the pure elements (meV/atom) = 1428
- DOS(E_F) (states/eV per cell) = 4.8
- total magnetization (Bohr magnetons per cell) = 0.9

Entry 2:
## CdTcMo2 (GGA-PBEsol)

Data for CdTcMo2 after structural relaxation.

abc: 3.3217 3.3217 5.9215
angles: 90.00 90.00 90.00
Closest atoms and distances in Å follow each position.
Space group P4/mmm (No. 123)
One atom of each set of equivalent atoms:
Cd1 0.0000 0.0000 0.0000  8 Mo 2.92, 2 Tc 2.96
Tc1 0.0000 0.0000 0.5000  8 Mo 2.65, 2 Cd 2.96
Mo1 0.5000 0.5000 0.2941  1 Mo 2.44, 4 Tc 2.65

Values from the calculation:
- energy of formation from the pure elements (meV/atom) = 389
- DOS(E_F) (states/eV per cell) = 2.2
- total magnetization (Bohr magnetons per cell) = 0.0

Entry 3:
## CdTcMo2 (GGA-PBEsol)

Data for CdTcMo2 after structural relaxation.

abc: 3.1223 4.4245 9.2118
angles: 90.00 90.00 90.00
Closest atoms and distances in Å follow each position.
Space group Cmmm (No. 65)
One atom of each set of equivalent atoms:
Cd1 0.0000 0.0000 0.0000  4 Cd 2.71, 4 Mo 2.94
Tc1 0.0000 0.0000 0.5000  4 Mo 2.63, 4 Tc 2.71
Mo1 0.0000 0.5000 0.2702  2 Tc 2.63, 4 Mo 2.71, 2 Cd 2.94

Values from the calculation:
- energy of formation from the pure elements (meV/atom) = 290
- DOS(E_F) (states/eV per cell) = 6.8
- total magnetization (Bohr magnetons per cell) = 0.0

Entry 4:
## CdTcMo2 (GGA-PBEsol)

Data for CdTcMo2 after structural relaxation.

abc: 3.9039 3.9039 8.1897
angles: 90.00 90.00 90.00
Closest atoms and distances in Å follow each position.
Space group I4/mmm (No. 139)
One atom of each set of equivalent atoms:
Cd1 0.0000 0.0000 0.0000  4 Tc 2.76, 8 Mo 2.83
Tc1 0.0000 0.0000 0.5000  4 Cd 2.76, 8 Mo 2.83
Mo1 0.0000 0.5000 0.2500  4 Mo 2.76, 4 Cd 2.83, 4 Tc 2.83

Values from the calculation:
- energy of formation from the pure elements (meV/atom) = 450
- DOS(E_F) (states/eV per cell) = 5.6
- total magnetization (Bohr magnetons per cell) = 0.0

Entry 5:
## CdTcMo2 (GGA-PBEsol)

Data for CdTcMo2 after structural relaxation.

abc: 3.9184 3.9184 4.0491
angles: 90.00 90.00 90.00
Closest atoms and distances in Å follow each position.
Space group P4/mmm (No. 123)
One atom of each set of equivalent atoms:
Cd1 0.0000 0.0000 0.0000  4 Tc 2.77, 8 Mo 2.82
Tc1 0.5000 0.5000 0.0000  4 Cd 2.77, 8 Mo 2.82
Mo1 0.0000 0.5000 0.5000  4 Mo 2.77, 4 Cd 2.82, 4 Tc 2.82

Values from the calculation:
- energy of formation from the pure elements (meV/atom) = 428
- DOS(E_F) (states/eV per cell) = 3.0
- total magnetization (Bohr magnetons per cell) = 0.0

Entry 6:
## Cd2TeMo (GGA-PBEsol)

Data for Cd2TeMo after structural relaxation.

abc: 4.0643 4.0643 4.8560
angles: 90.00 90.00 90.00
Closest atoms and distances in Å follow each position.
Space group P4/mmm (No. 123)
One atom of each set of equivalent atoms:
Cd1 0.0000 0.5000 0.0000  4 Cd 2.87, 4 Mo 3.17, 4 Te 3.17
Te1 0.0000 0.0000 0.5000  4 Mo 2.87, 8 Cd 3.17
Mo1 0.5000 0.5000 0.5000  4 Te 2.87, 8 Cd 3.17

Values from the calculation:
- ΔE_f (raw) (kJ/mol of formula units) = 211
- DOS(E_F) (states/eV per cell) = 3.5
- total magnetization (Bohr magnetons per cell) = 1.7

Entry 7:
## Cd2TeMo (GGA-PBEsol)

Data for Cd2TeMo after structural relaxation.

abc: 4.2930 4.2930 8.6806
angles: 90.00 90.00 90.00
Closest atoms and distances in Å follow each position.
Space group I-4m2 (No. 119)
One atom of each set of equivalent atoms:
Cd1 0.0000 0.0000 0.0000  4 Mo 3.04, 4 Cd 3.05, 4 Te 3.05
Cd2 0.0000 0.5000 0.2500  4 Te 3.04, 4 Cd 3.05, 4 Mo 3.05
Te1 0.0000 0.5000 0.7500  8 Cd 3.04-3.05, 4 Mo 3.05
Mo1 0.0000 0.0000 0.5000  8 Cd 3.04-3.05, 4 Te 3.05

Values from the calculation:
- ΔE_f (raw) (kJ/mol of formula units) = 190
- DOS(E_F) (states/eV per cell) = 4.8
- total magnetization (Bohr magnetons per cell) = 3.4

Entry 8:
## Cd2TeMo (GGA-PBEsol)

Data for Cd2TeMo after structural relaxation.

abc: 2.9867 4.7669 5.6187
angles: 90.00 90.00 90.00
Closest atoms and distances in Å follow each position.
Space group Pmmm (No. 47)
One atom of each set of equivalent atoms:
Cd1 0.0000 0.0000 0.2348  1 Cd 2.64
Te1 0.5000 0.5000 0.5000  2 Mo 2.81, 2 Te 2.99
Mo1 0.5000 0.5000 0.0000  2 Te 2.81, 2 Mo 2.99, 8 Cd 3.11

Values from the calculation:
- ΔE_f (raw) (kJ/mol of formula units) = 220
- DOS(E_F) (states/eV per cell) = 3.7
- total magnetization (Bohr magnetons per cell) = 0.0

Entry 9:
## Cd2TeMo (GGA-PBEsol)

Data for Cd2TeMo after structural relaxation.

abc: 3.4852 4.4798 5.0409
angles: 90.00 90.00 90.00
Closest atoms and distances in Å follow each position.
Space group Pmmm (No. 47)
One atom of each set of equivalent atoms:
Cd1 0.0000 0.0000 0.0000  4 Cd 2.84, 4 Mo 3.06
Cd2 0.5000 0.5000 0.0000  4 Cd 2.84, 4 Te 3.06
Te1 0.0000 0.5000 0.5000  4 Mo 2.84, 4 Cd 3.06
Mo1 0.5000 0.0000 0.5000  4 Te 2.84, 4 Cd 3.06

Values from the calculation:
- ΔE_f (raw) (kJ/mol of formula units) = 199
- DOS(E_F) (states/eV per cell) = 3.8
- total magnetization (Bohr magnetons per cell) = 0.0

Entry 10:
## TlCd2Mo (GGA-PBEsol)

Data for TlCd2Mo after structural relaxation.

abc: 4.0114 4.0114 9.6896
angles: 90.00 90.00 90.00
Closest atoms and distances in Å follow each position.
Space group I4/mmm (No. 139)
One atom of each set of equivalent atoms:
Tl1 0.0000 0.0000 0.0000  4 Mo 2.84, 8 Cd 3.14
Cd1 0.0000 0.5000 0.2500  4 Cd 2.84, 4 Tl 3.14, 4 Mo 3.14
Mo1 0.0000 0.0000 0.5000  4 Tl 2.84, 8 Cd 3.14

Values from the calculation:
- energy of formation from the pure elements (meV/atom) = 504
- DOS(E_F) (states/eV per cell) = 4.0
- total magnetization (Bohr magnetons per cell) = 1.6

Entry 11:
## Tl2CdMo (GGA-PBEsol)

Data for Tl2CdMo after structural relaxation.

abc: 4.0840 4.0840 9.6539
angles: 90.00 90.00 90.00
Closest atoms and distances in Å follow each position.
Space group I-4m2 (No. 119)
One atom of each set of equivalent atoms:
Tl1 0.0000 0.0000 0.0000  4 Cd 2.89, 4 Tl 3.16, 4 Mo 3.16
Tl2 0.0000 0.5000 0.2500  4 Mo 2.89, 4 Cd 3.16, 4 Tl 3.16
Cd1 0.0000 0.0000 0.5000  8 Tl 2.89-3.16, 4 Mo 3.16
Mo1 0.0000 0.5000 0.7500  8 Tl 2.89-3.16, 4 Cd 3.16

Values from the calculation:
- energy of formation from the pure elements (meV/atom) = 564
- ΔE to the lowest computed polymorph (meV per atom) = 0
- DOS(E_F) (states/eV per cell) = 3.1
- total magnetization (Bohr magnetons per cell) = 0.0

Entry 12:
## TlCdMo (GGA-PBEsol)

Data for TlCdMo after structural relaxation.

abc: 3.0178 3.0178 7.4450
angles: 90.00 90.00 120.00
Closest atoms and distances in Å follow each position.
Space group P3m1 (No. 156)
One atom of each set of equivalent atoms:
Tl1 0.0000 0.0000 0.0000  3 Mo 2.97, 6 Tl 3.02, 3 Cd 3.23
Cd1 0.6667 0.3333 0.6341  3 Mo 2.90, 6 Cd 3.02, 3 Tl 3.23
Mo1 0.3333 0.6667 0.3227  3 Cd 2.90, 3 Tl 2.97, 6 Mo 3.02

Values from the calculation:
- energy of formation from the pure elements (meV/atom) = 589
- DOS(E_F) (states/eV per cell) = 1.7
- total magnetization (Bohr magnetons per cell) = 0.0

Entry 13:
## TlCdMo2 (GGA-PBEsol)

Data for TlCdMo2 after structural relaxation.

abc: 3.4081 4.4590 9.3213
angles: 90.00 90.00 90.00
Closest atoms and distances in Å follow each position.
Space group Immm (No. 71)
One atom of each set of equivalent atoms:
Tl1 0.0000 0.0000 0.0000  4 Cd 2.81, 4 Mo 2.88
Cd1 0.0000 0.0000 0.5000  4 Tl 2.81, 4 Mo 2.90
Mo1 0.0000 0.5000 0.2511  4 Mo 2.81, 2 Tl 2.88, 2 Cd 2.90

Values from the calculation:
- energy of formation from the pure elements (meV/atom) = 653
- ΔE to the lowest computed polymorph (meV per atom) = 0
- DOS(E_F) (states/eV per cell) = 5.6
- total magnetization (Bohr magnetons per cell) = 0.0

Entry 14:
## Tl2CdMo (GGA-PBEsol)

Data for Tl2CdMo after structural relaxation.

abc: 3.5725 4.9222 9.6728
angles: 90.00 90.00 90.00
Closest atoms and distances in Å follow each position.
Space group Cmmm (No. 65)
One atom of each set of equivalent atoms:
Tl1 0.0000 0.0000 0.2324  2 Mo 2.87, 4 Tl 3.04, 2 Cd 3.14
Cd1 0.0000 0.5000 0.5000  4 Cd 3.04, 4 Tl 3.14
Mo1 0.0000 0.5000 0.0000  4 Tl 2.87, 4 Mo 3.04

Values from the calculation:
- energy of formation from the pure elements (meV/atom) = 604
- ΔE to the lowest computed polymorph (meV per atom) = 40
- DOS(E_F) (states/eV per cell) = 6.1
- total magnetization (Bohr magnetons per cell) = 0.0

Entry 15:
## TlCdMo2 (GGA-PBEsol)

Data for TlCdMo2 after structural relaxation.

abc: 6.5770 6.5770 6.5770
angles: 90.00 90.00 90.00
Closest atoms and distances in Å follow each position.
Space group F-43m (No. 216)
One atom of each set of equivalent atoms:
Tl1 0.0000 0.0000 0.0000  4 Cd 2.85, 4 Mo 2.85
Cd1 0.2500 0.2500 0.2500  4 Tl 2.85, 4 Mo 2.85
Mo1 0.0000 0.0000 0.5000  4 Cd 2.85, 4 Mo 2.85
Mo2 0.2500 0.2500 0.7500  4 Tl 2.85, 4 Mo 2.85

Values from the calculation:
- energy of formation from the pure elements (meV/atom) = 748
- ΔE to the lowest computed polymorph (meV per atom) = 95
- DOS(E_F) (states/eV per cell) = 11.7
- total magnetization (Bohr magnetons per cell) = 0.0

Entry 16:
## CdMo2W (GGA-PBEsol)

Data for CdMo2W after structural relaxation.

abc: 5.6655 8.5761 2.6614
angles: 90.00 90.00 90.00
Closest atoms and distances in Å follow each position.
Space group Cmmm (No. 65)
One atom of each set of equivalent atoms:
Cd1 0.0000 0.0000 0.0000  2 Cd 2.66, 2 W 2.83, 8 Mo 2.89
Mo1 0.2500 0.2500 0.5000  4 Mo 2.66-2.83, 4 Cd 2.89, 4 W 2.89
W1 0.0000 0.5000 0.0000  2 W 2.66, 2 Cd 2.83, 8 Mo 2.89

Values from the calculation:
- energy of formation from the pure elements (meV/atom) = 480
- DOS(E_F) (states/eV per cell) = 4.5
- total magnetization (Bohr magnetons per cell) = 0.0